# 1
Below is an optimized crystal structure of Zr2MnGeRh, with properties calculated at the GGA-PBE level.

Unit cell a=4.716 b=4.716 c=4.399 alpha=90.00 beta=90.00 gamma=90.00
Element x y z (fractional)
Zr (0.000, 0.500, 0.000)
Zr (0.500, 0.000, 0.000)
Mn (0.000, 0.000, 0.000)
Ge (0.000, 0.000, 0.500)
Rh (0.500, 0.500, 0.500)

Properties
* E_tot: -37.32 eV per cell
* space group: No. 123

# 2
Below is an optimized crystal structure of MnGe3Ru, with properties calculated at the GGA-PBE level.

Unit cell a=4.787 b=4.787 c=4.787 alpha=90.00 beta=90.00 gamma=90.00
Element x y z (fractional)
Mn (0.000, 0.000, 0.000)
Ge (0.000, 0.500, 0.500)
Ge (0.500, 0.000, 0.500)
Ge (0.500, 0.500, 0.000)
Ru (0.500, 0.500, 0.500)

Properties
* space group: No. 221
* polymorph energy (0 for the lowest one): 0.0000 eV per atom

In the order shown, the computed calculated density values come out to 7.0; 5.7 Mg/m³.